Entry 1:
Entry from Alexandria: crystalline NaCuPO2 at its relaxed geometry (PBE).

Cell lengths 3.991, 3.991, 5.189 Å; angles 90.00, 90.00, 90.00 degrees
Positions (direct):
Na  0.000  0.000  0.000
Cu  0.500  0.500  0.500
P  0.000  0.000  0.500
O  0.000  0.500  0.000
O  0.500  0.000  0.000

Output
Size of the total moment in μB/atom: 0.437
Electronic total energy in eV/cell: -15.7
Energy above the lowest structure with this stoichiometry in eV per atom: 0.895

=====

Entry 2:
Entry from Alexandria: crystalline AcSm2Sn at its relaxed geometry (PBE).

Cell lengths 5.081, 5.081, 4.950 Å; angles 90.00, 90.00, 90.00 degrees
Positions (direct):
Ac  0.000  0.000  0.000
Sm  0.000  0.500  0.500
Sm  0.500  0.000  0.500
Sn  0.500  0.500  0.000

Output
DFT formation energy in meV per atom: -376
Size of the total moment in μB/atom: 0.000
Electronic total energy in eV/cell: -19.1
Energy above the lowest structure with this stoichiometry in eV per atom: 0.000

=====

Entry 3:
Entry from Alexandria: crystalline BaCaAl2 at its relaxed geometry (PBE).

Cell lengths 5.574, 5.574, 5.574 Å; angles 60.00, 60.00, 60.00 degrees
Positions (direct):
Ba  0.000  0.000  0.000
Ca  0.500  0.500  0.500
Al  0.250  0.250  0.250
Al  0.750  0.750  0.750

Output
DFT formation energy in meV per atom: -69
Size of the total moment in μB/atom: 0.000
Electronic total energy in eV/cell: -11.7
Energy above the lowest structure with this stoichiometry in eV per atom: 0.117

=====

Question: energy above the lowest structure with this stoichiometry of number 3 (BaCaAl2)?
Answer: 0.117 eV per atom

=====

Question: What is the electronic total energy in the first record?
Answer: -15.7 eV/cell

=====

What did the third record say?
Entry from Alexandria: crystalline BaCaAl2 at its relaxed geometry (PBE).

Cell lengths 5.574, 5.574, 5.574 Å; angles 60.00, 60.00, 60.00 degrees
Positions (direct):
Ba  0.000  0.000  0.000
Ca  0.500  0.500  0.500
Al  0.250  0.250  0.250
Al  0.750  0.750  0.750

Output
DFT formation energy in meV per atom: -69
Size of the total moment in μB/atom: 0.000
Electronic total energy in eV/cell: -11.7
Energy above the lowest structure with this stoichiometry in eV per atom: 0.117